1.
The following is a PBE calculation of PmDyNi after structural relaxation, from the Alexandria database.

Results
- Total moment: 0.0 μB per cell
- Formation energy: -0.331 eV/f.u.
- Distance to the lowest polymorph of the same formula: 0.087 eV per atom
- Fermi-level density of states: 2.84 states/eV/cell

Cell lengths 4.8051, 4.8051, 4.8051 Å; angles 60.00, 60.00, 60.00 degrees
With the nearest neighbours (Å) after each atom.
Element x y z (fractional)
Pm 0.0000 0.0000 0.0000  4 Ni 2.94
Dy 0.5000 0.5000 0.5000  4 Ni 2.94
Ni 0.2500 0.2500 0.2500  4 Dy 2.94, 4 Pm 2.94


2.
The following is a PBE calculation of PmDy2Ni after structural relaxation, from the Alexandria database.

Results
- Total moment: 0.0 μB per cell
- Formation energy: -0.909 eV/f.u.
- Distance to the lowest polymorph of the same formula: 0.000 eV per atom
- Fermi-level density of states: 17.11 states/eV/cell

Cell lengths 6.8993, 9.6369, 6.4003 Å; angles 90.00, 90.00, 90.00 degrees
With the nearest neighbours (Å) after each atom.
Element x y z (fractional)
Pm 0.0321 0.2500 0.1397  2 Ni 2.80-2.91
Pm 0.4679 0.7500 0.6397  2 Ni 2.80-2.91
Pm 0.5321 0.2500 0.3603  2 Ni 2.80-2.91
Pm 0.9679 0.7500 0.8603  2 Ni 2.80-2.91
Dy 0.1762 0.0667 0.6760  2 Ni 2.74-2.82
Dy 0.1762 0.4333 0.6760  2 Ni 2.74-2.82
Dy 0.3238 0.5667 0.1760  2 Ni 2.74-2.82
Dy 0.3238 0.9333 0.1760  2 Ni 2.74-2.82
Dy 0.6762 0.0667 0.8240  2 Ni 2.74-2.82
Dy 0.6762 0.4333 0.8240  2 Ni 2.74-2.82
Dy 0.8238 0.5667 0.3240  2 Ni 2.74-2.82
Dy 0.8238 0.9333 0.3240  2 Ni 2.74-2.82
Ni 0.1111 0.7500 0.4328  4 Dy 2.74-2.82, 2 Pm 2.80-2.91
Ni 0.3889 0.2500 0.9328  4 Dy 2.74-2.82, 2 Pm 2.80-2.91
Ni 0.6111 0.7500 0.0672  4 Dy 2.74-2.82, 2 Pm 2.80-2.91
Ni 0.8889 0.2500 0.5672  4 Dy 2.74-2.82, 2 Pm 2.80-2.91


3.
The following is a PBE calculation of Pm2DyNi after structural relaxation, from the Alexandria database.

Results
- Total moment: 0.0 μB per cell
- Formation energy: -0.810 eV/f.u.
- Distance to the lowest polymorph of the same formula: 0.000 eV per atom
- Fermi-level density of states: 15.46 states/eV/cell

Cell lengths 6.9512, 9.8966, 6.3734 Å; angles 90.00, 90.00, 90.00 degrees
With the nearest neighbours (Å) after each atom.
Element x y z (fractional)
Pm 0.1796 0.0664 0.1756  2 Ni 2.83-2.88
Pm 0.1796 0.4336 0.1756  2 Ni 2.83-2.88
Pm 0.3204 0.5664 0.6756  2 Ni 2.83-2.88
Pm 0.3204 0.9336 0.6756  2 Ni 2.83-2.88
Pm 0.6796 0.0664 0.3244  2 Ni 2.83-2.88
Pm 0.6796 0.4336 0.3244  2 Ni 2.83-2.88
Pm 0.8204 0.5664 0.8244  2 Ni 2.83-2.88
Pm 0.8204 0.9336 0.8244  2 Ni 2.83-2.88
Dy 0.0360 0.2500 0.6487  2 Ni 2.77-2.79
Dy 0.4640 0.7500 0.1487  2 Ni 2.77-2.79
Dy 0.5360 0.2500 0.8513  2 Ni 2.77-2.79
Dy 0.9640 0.7500 0.3513  2 Ni 2.77-2.79
Ni 0.1127 0.7500 0.9443  2 Dy 2.77-2.79, 4 Pm 2.83-2.88
Ni 0.3873 0.2500 0.4443  2 Dy 2.77-2.79, 4 Pm 2.83-2.88
Ni 0.6127 0.7500 0.5557  2 Dy 2.77-2.79, 4 Pm 2.83-2.88
Ni 0.8873 0.2500 0.0557  2 Dy 2.77-2.79, 4 Pm 2.83-2.88


4.
The following is a PBE calculation of PmDyNi after structural relaxation, from the Alexandria database.

Results
- Total moment: 0.0 μB per cell
- Formation energy: -0.108 eV/f.u.
- Distance to the lowest polymorph of the same formula: 0.161 eV per atom
- Fermi-level density of states: 9.04 states/eV/cell

Cell lengths 8.0568, 8.0568, 8.0568 Å; angles 154.48, 131.89, 55.24 degrees
With the nearest neighbours (Å) after each atom.
Element x y z (fractional)
Pm 0.1276 0.1276 0.0000  2 Ni 2.74
Pm 0.8724 0.8724 0.0000  2 Ni 2.74
Dy 0.3777 0.3777 0.0000  4 Ni 2.78
Dy 0.6223 0.6223 0.0000  4 Ni 2.78
Ni 0.3125 0.0000 0.3125  1 Ni 2.46, 2 Pm 2.74
Ni 0.6875 0.0000 0.6875  1 Ni 2.46, 2 Pm 2.74


5.
The following is a PBE calculation of Pm4DyNi4 after structural relaxation, from the Alexandria database.

Results
- Total moment: 0.0 μB per cell
- Formation energy: -1.830 eV/f.u.
- Fermi-level density of states: 15.67 states/eV/cell

Cell lengths 8.5279, 8.5279, 5.8850 Å; angles 90.00, 90.00, 90.00 degrees
With the nearest neighbours (Å) after each atom.
Element x y z (fractional)
Pm 0.0570 0.6659 0.1491  4 Ni 2.73-3.02
Pm 0.1659 0.9430 0.6491  4 Ni 2.73-3.02
Pm 0.3341 0.5570 0.6491  4 Ni 2.73-3.02
Pm 0.4430 0.8341 0.1491  4 Ni 2.73-3.02
Pm 0.5570 0.1659 0.8509  4 Ni 2.73-3.02
Pm 0.6659 0.4430 0.3509  4 Ni 2.73-3.02
Pm 0.8341 0.0570 0.3509  4 Ni 2.73-3.02
Pm 0.9430 0.3341 0.8509  4 Ni 2.73-3.02
Dy 0.2500 0.2500 0.2500  4 Ni 2.66
Dy 0.7500 0.7500 0.7500  4 Ni 2.66
Ni 0.0211 0.6201 0.6287  1 Ni 2.57, 1 Dy 2.66, 3 Pm 2.73-2.87
Ni 0.1201 0.9789 0.1287  1 Ni 2.57, 1 Dy 2.66, 3 Pm 2.73-2.87
Ni 0.3799 0.5211 0.1287  1 Ni 2.57, 1 Dy 2.66, 3 Pm 2.73-2.87
Ni 0.4789 0.8799 0.6287  1 Ni 2.57, 1 Dy 2.66, 3 Pm 2.73-2.87
Ni 0.5211 0.1201 0.3713  1 Ni 2.57, 1 Dy 2.66, 3 Pm 2.73-2.87
Ni 0.6201 0.4789 0.8713  1 Ni 2.57, 1 Dy 2.66, 3 Pm 2.73-2.87
Ni 0.8799 0.0211 0.8713  1 Ni 2.57, 1 Dy 2.66, 3 Pm 2.73-2.87
Ni 0.9789 0.3799 0.3713  1 Ni 2.57, 1 Dy 2.66, 3 Pm 2.73-2.87


6.
The following is a PBE calculation of PmDy2Ni2 after structural relaxation, from the Alexandria database.

Results
- Total moment: 0.0 μB per cell
- Formation energy: -1.104 eV/f.u.
- Fermi-level density of states: 6.39 states/eV/cell

Cell lengths 6.1027, 6.1027, 5.5130 Å; angles 103.31, 103.31, 36.31 degrees
With the nearest neighbours (Å) after each atom.
Element x y z (fractional)
Pm 0.0000 0.0000 0.0000  4 Ni 3.10
Dy 0.3515 0.3515 0.4119  4 Ni 2.74-2.92
Dy 0.6485 0.6485 0.5881  4 Ni 2.74-2.92
Ni 0.2821 0.2821 0.8865  2 Ni 2.49, 2 Dy 2.74
Ni 0.7179 0.7179 0.1135  2 Ni 2.49, 2 Dy 2.74